No. 1
A geometry-optimized Lu2BeSn structure, computed with PBE-GGA.

Values from the calculation:
SG = No. 216
final energy = -0.2858 Ry per atom

Lattice parameters (Å, degrees): 5.035 5.035 5.035 60.00 60.00 60.00
Fractional positions:
Lu1 0.750 0.750 0.750
Be1 0.250 0.250 0.250
Lu2 0.000 0.000 0.000
Sn1 0.500 0.500 0.500

---

No. 2
A geometry-optimized LuBeSn2 structure, computed with PBE-GGA.

Values from the calculation:
SG = No. 216
final energy = -0.2815 Ry per atom

Lattice parameters (Å, degrees): 5.067 5.067 5.067 60.00 60.00 60.00
Fractional positions:
Be1 0.750 0.750 0.750
Sn1 0.250 0.250 0.250
Lu1 0.500 0.500 0.500
Sn2 0.000 0.000 0.000

---

No. 3
A geometry-optimized SrLuBe structure, computed with PBE-GGA.

Values from the calculation:
SG = No. 216
final energy = -0.1673 Ry per atom

Lattice parameters (Å, degrees): 4.929 4.929 4.929 60.00 60.00 60.00
Fractional positions:
Be1 0.250 0.250 0.250
Lu1 0.000 0.000 0.000
Sr1 0.750 0.750 0.750

---

No. 4
A geometry-optimized Lu2TaBe structure, computed with PBE-GGA.

Values from the calculation:
SG = No. 216
final energy = -0.4132 Ry per atom

Lattice parameters (Å, degrees): 4.826 4.826 4.826 60.00 60.00 60.00
Fractional positions:
Be1 0.500 0.500 0.500
Ta1 0.250 0.250 0.250
Lu1 0.750 0.750 0.750
Lu2 0.000 0.000 0.000

---

No. 5
A geometry-optimized LuBeTc structure, computed with PBE-GGA.

Values from the calculation:
SG = No. 216
final energy = -0.3613 Ry per atom

Lattice parameters (Å, degrees): 4.363 4.363 4.363 60.00 60.00 60.00
Fractional positions:
Be1 0.250 0.250 0.250
Tc1 0.750 0.750 0.750
Lu1 0.000 0.000 0.000

---

No. 6
A geometry-optimized LuBeTc structure, computed with PBE-GGA.

Values from the calculation:
SG = No. 216
final energy = -0.4078 Ry per atom

Lattice parameters (Å, degrees): 4.282 4.282 4.282 60.00 60.00 60.00
Fractional positions:
Tc1 0.000 0.000 0.000
Be1 0.250 0.250 0.250
Lu1 0.750 0.750 0.750

---

No. 7
A geometry-optimized Lu2BeTc structure, computed with PBE-GGA.

Values from the calculation:
SG = No. 216
final energy = -0.4045 Ry per atom

Lattice parameters (Å, degrees): 4.671 4.671 4.671 60.00 60.00 60.00
Fractional positions:
Be1 0.500 0.500 0.500
Lu1 0.000 0.000 0.000
Tc1 0.250 0.250 0.250
Lu2 0.750 0.750 0.750

---

No. 8
A geometry-optimized LuBeTcTe structure, computed with PBE-GGA.

Values from the calculation:
SG = No. 216
final energy = -0.3691 Ry per atom

Lattice parameters (Å, degrees): 4.700 4.700 4.700 60.00 60.00 60.00
Fractional positions:
Tc1 0.000 0.000 0.000
Te1 0.500 0.500 0.500
Be1 0.750 0.750 0.750
Lu1 0.250 0.250 0.250

---

No. 9
A geometry-optimized LuBeTcTe structure, computed with PBE-GGA.

Values from the calculation:
SG = No. 216
final energy = -0.3833 Ry per atom

Lattice parameters (Å, degrees): 4.623 4.623 4.623 60.00 60.00 60.00
Fractional positions:
Tc1 0.250 0.250 0.250
Lu1 0.000 0.000 0.000
Be1 0.750 0.750 0.750
Te1 0.500 0.500 0.500

---

No. 10
A geometry-optimized LuBeTcTe structure, computed with PBE-GGA.

Values from the calculation:
SG = No. 216
final energy = -0.3950 Ry per atom

Lattice parameters (Å, degrees): 4.635 4.635 4.635 60.00 60.00 60.00
Fractional positions:
Te1 0.250 0.250 0.250
Lu1 0.500 0.500 0.500
Tc1 0.000 0.000 0.000
Be1 0.750 0.750 0.750

---

No. 11
A geometry-optimized LuBeTe structure, computed with PBE-GGA.

Values from the calculation:
SG = No. 216
final energy = -0.2519 Ry per atom

Lattice parameters (Å, degrees): 4.820 4.820 4.820 60.00 60.00 60.00
Fractional positions:
Te1 0.000 0.000 0.000
Be1 0.250 0.250 0.250
Lu1 0.750 0.750 0.750

---

No. 12
A geometry-optimized LuBeTe structure, computed with PBE-GGA.

Values from the calculation:
SG = No. 216
final energy = -0.2726 Ry per atom

Lattice parameters (Å, degrees): 4.577 4.577 4.577 60.00 60.00 60.00
Fractional positions:
Te1 0.750 0.750 0.750
Lu1 0.250 0.250 0.250
Be1 0.000 0.000 0.000

---

No. 13
A geometry-optimized LuBe2Tl structure, computed with PBE-GGA.

Values from the calculation:
SG = No. 216
final energy = -0.2327 Ry per atom

Lattice parameters (Å, degrees): 4.653 4.653 4.653 60.00 60.00 60.00
Fractional positions:
Be1 0.750 0.750 0.750
Tl1 0.500 0.500 0.500
Lu1 0.250 0.250 0.250
Be2 0.000 0.000 0.000

---

No. 14
A geometry-optimized LuUBe structure, computed with PBE-GGA.

Values from the calculation:
SG = No. 216
final energy = -0.4232 Ry per atom

Lattice parameters (Å, degrees): 4.573 4.573 4.573 60.00 60.00 60.00
Fractional positions:
U1 0.750 0.750 0.750
Lu1 0.250 0.250 0.250
Be1 0.000 0.000 0.000

---

No. 15
A geometry-optimized Lu2BeW structure, computed with PBE-GGA.

Values from the calculation:
SG = No. 216
final energy = -0.4290 Ry per atom

Lattice parameters (Å, degrees): 4.726 4.726 4.726 60.00 60.00 60.00
Fractional positions:
W1 0.250 0.250 0.250
Be1 0.500 0.500 0.500
Lu1 0.000 0.000 0.000
Lu2 0.750 0.750 0.750